Entry from Alexandria: Tl2CrFe after structural relaxation (PBE).

```
data_Tl2CrFe
_chemical_formula_sum 'Tl4 Cr2 Fe2'
_symmetry_space_group_name_H-M 'I m m 2'
_symmetry_Int_Tables_number 44
_cell_length_a 3.139
_cell_length_b 4.635
_cell_length_c 10.641
_cell_angle_alpha 90.00
_cell_angle_beta 90.00
_cell_angle_gamma 90.00
loop_
_symmetry_equiv_pos_as_xyz
'x,y,z'
'-x,-y,z'
'-x,y,z'
'x,-y,z'
'x+1/2,y+1/2,z+1/2'
'-x+1/2,-y+1/2,z+1/2'
'-x+1/2,y+1/2,z+1/2'
'x+1/2,-y+1/2,z+1/2'
loop_
_atom_site_label
_atom_site_type_symbol
_atom_site_fract_x
_atom_site_fract_y
_atom_site_fract_z
_atom_site_occupancy
Tl1 Tl 0.000 0.000 0.000 1
Tl2 Tl 0.000 0.500 0.221 1
Cr1 Cr 0.000 0.000 0.423 1
Fe1 Fe 0.000 0.500 0.737 1
```

Calculated values
Energy relative to the lowest polymorph listed for this composition (eV/atom): 0.201



Entry from Alexandria: ScFeTe2 after structural relaxation (PBE).

```
data_ScFeTe2
_chemical_formula_sum 'Sc2 Fe2 Te4'
_symmetry_space_group_name_H-M 'A m m 2'
_symmetry_Int_Tables_number 38
_cell_length_a 3.835
_cell_length_b 3.830
_cell_length_c 12.973
_cell_angle_alpha 90.00
_cell_angle_beta 90.00
_cell_angle_gamma 90.00
loop_
_symmetry_equiv_pos_as_xyz
'x,y,z'
'-x,-y,z'
'-x,y,z'
'x,-y,z'
'x,y+1/2,z+1/2'
'-x,-y+1/2,z+1/2'
'-x,y+1/2,z+1/2'
'x,-y+1/2,z+1/2'
loop_
_atom_site_label
_atom_site_type_symbol
_atom_site_fract_x
_atom_site_fract_y
_atom_site_fract_z
_atom_site_occupancy
Sc1 Sc 0.000 0.000 0.000 1
Fe1 Fe 0.500 0.000 0.803 1
Te1 Te 0.000 0.000 0.330 1
Te2 Te 0.500 0.000 0.595 1
```

Calculated values
Energy relative to the elements, uncorrected (meV/atom): -488



Entry from Alexandria: La6Pr2Y after structural relaxation (PBE).

```
data_La6Pr2Y
_chemical_formula_sum 'La12 Pr4 Y2'
_symmetry_space_group_name_H-M 'C m m m'
_symmetry_Int_Tables_number 65
_symmetry_space_group_name_Hall '-C 2 2'
_cell_length_a 9.628
_cell_length_b 18.214
_cell_length_c 3.714
_cell_angle_alpha 90.00
_cell_angle_beta 90.00
_cell_angle_gamma 90.00
loop_
_atom_site_label
_atom_site_type_symbol
_atom_site_fract_x
_atom_site_fract_y
_atom_site_fract_z
_atom_site_occupancy
La1 La 0.172 0.164 0.000 1
La2 La 0.178 0.000 0.500 1
Pr1 Pr 0.000 0.326 0.500 1
Y1 Y 0.000 0.500 0.000 1
```

Calculated values
Energy relative to the lowest polymorph listed for this composition (eV/atom): 0.058



| no. | volume (Å³ per atom) | M_tot (μB/cell) |
| --- | --- | --- |
| 1 | 19.35 | 10.35 |
| 2 | 23.82 | 5.82 |
| 3 | 36.18 | 0.00 |